1.
DFT (PBE) results for a geometry-optimized K2Bi2O5 structure. Values from VASP.

```
&SYSTEM
  ibrav = 0, nat = 9, ntyp = 3
/
ATOMIC_SPECIES
K 39.10 K.upf
Bi 208.98 Bi.upf
O 16.00 O.upf
ATOMIC_POSITIONS crystal
K 0.0000 0.0000 0.0000
K 0.0000 0.0000 0.5000
Bi 0.5000 0.5000 0.2431
Bi 0.5000 0.5000 0.7569
O 0.0000 0.5000 0.2795
O 0.0000 0.5000 0.7205
O 0.5000 0.0000 0.2795
O 0.5000 0.0000 0.7205
O 0.5000 0.5000 0.0000
CELL_PARAMETERS angstrom
4.3496 0.0000 0.0000
0.0000 4.3496 0.0000
0.0000 0.0000 8.7089
```

## Properties
Density of states at the Fermi level in states/eV per cell: 1.71
Formation energy without anion corrections in eV/atom: -1.1951
Volume in Å³ per cell: 164.8


2.
DFT (PBE) results for a geometry-optimized K2BiO structure. Values from VASP.

```
&SYSTEM
  ibrav = 0, nat = 8, ntyp = 3
/
ATOMIC_SPECIES
K 39.10 K.upf
Bi 208.98 Bi.upf
O 16.00 O.upf
ATOMIC_POSITIONS crystal
K 0.3750 0.1926 0.3176
K 0.8074 0.1250 0.1824
K 0.8750 0.0574 0.6824
K 0.9426 0.6250 0.8176
Bi 0.2500 0.7500 0.5000
Bi 0.5000 0.5000 0.0000
O 0.0000 0.0000 0.0000
O 0.7500 0.2500 0.5000
CELL_PARAMETERS angstrom
-5.4263 5.4263 2.3775
5.4263 -5.4263 2.3775
5.4263 5.4263 -2.3775
```

## Properties
Density of states at the Fermi level in states/eV per cell: 5.29
Formation energy without anion corrections in eV/atom: -0.6181
E above lowest polymorph in meV per atom: 0
Volume in Å³ per cell: 280.0


3.
DFT (PBE) results for a geometry-optimized K3BiO4 structure. Values from VASP.

```
&SYSTEM
  ibrav = 0, nat = 8, ntyp = 3
/
ATOMIC_SPECIES
K 39.10 K.upf
Bi 208.98 Bi.upf
O 16.00 O.upf
ATOMIC_POSITIONS crystal
K 0.0000 0.0000 0.0000
K 0.1909 0.4132 0.7778
K 0.6354 0.4132 0.2222
Bi 0.4225 0.9225 0.5000
O 0.2683 0.0243 0.7560
O 0.2683 0.5123 0.2440
O 0.3778 0.0722 0.3056
O 0.7667 0.0722 0.6944
CELL_PARAMETERS angstrom
-3.3216 4.4450 3.5965
3.3216 -4.4450 3.5965
3.3216 4.4450 -3.5965
```

## Properties
Density of states at the Fermi level in states/eV per cell: 0.00
Formation energy without anion corrections in eV/atom: -1.1909
Volume in Å³ per cell: 212.4


4.
DFT (PBE) results for a geometry-optimized K2BiOs3O12 structure. Values from VASP.

```
&SYSTEM
  ibrav = 0, nat = 18, ntyp = 4
/
ATOMIC_SPECIES
K 39.10 K.upf
Bi 208.98 Bi.upf
Os 190.23 Os.upf
O 16.00 O.upf
ATOMIC_POSITIONS crystal
K 0.1303 0.1303 0.1303
K 0.8697 0.8697 0.8697
Bi 0.5000 0.5000 0.5000
Os 0.0000 0.5000 0.5000
Os 0.5000 0.0000 0.5000
Os 0.5000 0.5000 0.0000
O 0.1198 0.5947 0.5947
O 0.2036 0.2036 0.5799
O 0.2036 0.5799 0.2036
O 0.4053 0.4053 0.8802
O 0.4053 0.8802 0.4053
O 0.4201 0.7964 0.7964
O 0.5799 0.2036 0.2036
O 0.5947 0.1198 0.5947
O 0.5947 0.5947 0.1198
O 0.7964 0.4201 0.7964
O 0.7964 0.7964 0.4201
O 0.8802 0.4053 0.4053
CELL_PARAMETERS angstrom
3.6755 2.1221 6.1089
-3.6755 2.1221 6.1089
0.0000 -4.2441 6.1089
```

## Properties
Density of states at the Fermi level in states/eV per cell: 7.50
Formation energy without anion corrections in eV/atom: -1.1591
Volume in Å³ per cell: 285.9


5.
DFT (PBE) results for a geometry-optimized KBi2OsO8 structure. Values from VASP.

```
&SYSTEM
  ibrav = 0, nat = 12, ntyp = 4
/
ATOMIC_SPECIES
K 39.10 K.upf
Bi 208.98 Bi.upf
Os 190.23 Os.upf
O 16.00 O.upf
ATOMIC_POSITIONS crystal
K 0.0000 0.0000 0.0000
Bi 0.5000 0.2416 0.5000
Bi 0.5000 0.7584 0.5000
Os 0.0000 0.5000 0.0000
O 0.2023 0.3112 0.1668
O 0.2023 0.6888 0.1668
O 0.2288 0.5000 0.7356
O 0.3096 0.0000 0.6535
O 0.6904 0.0000 0.3465
O 0.7712 0.5000 0.2644
O 0.7977 0.3112 0.8332
O 0.7977 0.6888 0.8332
CELL_PARAMETERS angstrom
5.1494 0.0000 0.0000
0.0000 7.0849 0.0000
-0.3416 0.0000 5.2692
```

## Properties
Density of states at the Fermi level in states/eV per cell: 3.39
Formation energy without anion corrections in eV/atom: -0.9955
Volume in Å³ per cell: 192.2


6.
DFT (PBE) results for a geometry-optimized K3BiOs2O9 structure. Values from VASP.

```
&SYSTEM
  ibrav = 0, nat = 15, ntyp = 4
/
ATOMIC_SPECIES
K 39.10 K.upf
Bi 208.98 Bi.upf
Os 190.23 Os.upf
O 16.00 O.upf
ATOMIC_POSITIONS crystal
K 0.0000 0.0000 0.0000
K 0.3333 0.6667 0.6633
K 0.6667 0.3333 0.3367
Bi 0.0000 0.0000 0.5000
Os 0.3333 0.6667 0.1471
Os 0.6667 0.3333 0.8529
O 0.0000 0.5000 0.0000
O 0.1803 0.3606 0.3017
O 0.1803 0.8197 0.3017
O 0.3606 0.1803 0.6983
O 0.5000 0.0000 0.0000
O 0.5000 0.5000 0.0000
O 0.6394 0.8197 0.3017
O 0.8197 0.1803 0.6983
O 0.8197 0.6394 0.6983
CELL_PARAMETERS angstrom
5.7915 0.0000 0.0000
-2.8957 5.0156 0.0000
0.0000 0.0000 7.2486
```

## Properties
Density of states at the Fermi level in states/eV per cell: 3.51
Formation energy without anion corrections in eV/atom: -1.2796
Volume in Å³ per cell: 210.6


7.
DFT (PBE) results for a geometry-optimized K2Bi2OsO6 structure. Values from VASP.

```
&SYSTEM
  ibrav = 0, nat = 11, ntyp = 4
/
ATOMIC_SPECIES
K 39.10 K.upf
Bi 208.98 Bi.upf
Os 190.23 Os.upf
O 16.00 O.upf
ATOMIC_POSITIONS crystal
K 0.1650 0.8350 0.0000
K 0.8350 0.1650 0.0000
Bi 0.3376 0.6624 0.5000
Bi 0.6624 0.3376 0.5000
Os 0.0000 0.0000 0.5000
O 0.0297 0.3469 0.6647
O 0.1986 0.1986 0.3045
O 0.3469 0.0297 0.6647
O 0.6531 0.9703 0.3353
O 0.8014 0.8014 0.6955
O 0.9703 0.6531 0.3353
CELL_PARAMETERS angstrom
3.0623 -5.0958 0.0000
3.0623 5.0958 0.0000
-1.6775 0.0000 6.3838
```

## Properties
Density of states at the Fermi level in states/eV per cell: 2.60
Formation energy without anion corrections in eV/atom: -1.1453
Volume in Å³ per cell: 199.2


8.
DFT (PBE) results for a geometry-optimized K3Bi2P3O12 structure. Values from VASP.

```
&SYSTEM
  ibrav = 0, nat = 40, ntyp = 4
/
ATOMIC_SPECIES
K 39.10 K.upf
Bi 208.98 Bi.upf
P 30.97 P.upf
O 16.00 O.upf
ATOMIC_POSITIONS crystal
K 0.0000 0.0000 0.0000
K 0.0000 0.0000 0.5000
K 0.2254 0.7746 0.7500
K 0.4916 0.5084 0.7500
K 0.5084 0.4916 0.2500
K 0.7746 0.2254 0.2500
Bi 0.1128 0.4118 0.8291
Bi 0.4118 0.1128 0.3291
Bi 0.5882 0.8872 0.6709
Bi 0.8872 0.5882 0.1709
P 0.1547 0.3624 0.3661
P 0.2509 0.7491 0.2500
P 0.3624 0.1547 0.8661
P 0.6376 0.8453 0.1339
P 0.7491 0.2509 0.7500
P 0.8453 0.6376 0.6339
O 0.0620 0.4123 0.1733
O 0.0836 0.2244 0.3702
O 0.1142 0.7444 0.3176
O 0.1672 0.4876 0.5785
O 0.2244 0.0836 0.8702
O 0.2558 0.6137 0.0586
O 0.2556 0.8858 0.1824
O 0.3096 0.3413 0.3478
O 0.3413 0.3096 0.8478
O 0.3863 0.7442 0.4414
O 0.4123 0.0620 0.6733
O 0.4876 0.1672 0.0785
O 0.5124 0.8328 0.9215
O 0.5877 0.9380 0.3267
O 0.6137 0.2558 0.5586
O 0.6587 0.6904 0.1522
O 0.6904 0.6587 0.6522
O 0.7444 0.1142 0.8176
O 0.7442 0.3863 0.9414
O 0.7756 0.9164 0.1298
O 0.8328 0.5124 0.4215
O 0.8858 0.2556 0.6824
O 0.9164 0.7756 0.6298
O 0.9380 0.5877 0.8267
CELL_PARAMETERS angstrom
6.9714 -6.8213 0.0000
6.9714 6.8213 0.0000
-2.9599 0.0000 6.2872
```

## Properties
Density of states at the Fermi level in states/eV per cell: 0.00
Formation energy without anion corrections in eV/atom: -2.0904
Volume in Å³ per cell: 598.0


9.
DFT (PBE) results for a geometry-optimized KBiP2O6 structure. Values from VASP.

```
&SYSTEM
  ibrav = 0, nat = 20, ntyp = 4
/
ATOMIC_SPECIES
K 39.10 K.upf
Bi 208.98 Bi.upf
P 30.97 P.upf
O 16.00 O.upf
ATOMIC_POSITIONS crystal
K 0.0516 0.9484 0.7500
K 0.9484 0.0516 0.2500
Bi 0.3377 0.6623 0.2500
Bi 0.6623 0.3377 0.7500
P 0.0955 0.4478 0.6467
P 0.4478 0.0955 0.1467
P 0.5522 0.9045 0.8533
P 0.9045 0.5522 0.3533
O 0.0420 0.7080 0.3222
O 0.1441 0.6152 0.8664
O 0.2695 0.3602 0.5625
O 0.2920 0.9580 0.1778
O 0.3602 0.2695 0.0625
O 0.3848 0.8559 0.6336
O 0.6152 0.1441 0.3664
O 0.6398 0.7305 0.9375
O 0.7080 0.0420 0.8222
O 0.7305 0.6398 0.4375
O 0.8559 0.3848 0.1336
O 0.9580 0.2920 0.6778
CELL_PARAMETERS angstrom
5.1066 -5.0016 0.0000
5.1066 5.0016 0.0000
-2.1145 0.0000 5.7783
```

## Properties
Density of states at the Fermi level in states/eV per cell: 0.00
Formation energy without anion corrections in eV/atom: -1.8873
Volume in Å³ per cell: 295.2


10.
DFT (PBE) results for a geometry-optimized KBiP4O12 structure. Values from VASP.

```
&SYSTEM
  ibrav = 0, nat = 72, ntyp = 4
/
ATOMIC_SPECIES
K 39.10 K.upf
Bi 208.98 Bi.upf
P 30.97 P.upf
O 16.00 O.upf
ATOMIC_POSITIONS crystal
K 0.2456 0.0709 0.4567
K 0.2456 0.4291 0.9567
K 0.7544 0.5709 0.0433
K 0.7544 0.9291 0.5433
Bi 0.1860 0.7241 0.6862
Bi 0.1860 0.7759 0.1862
Bi 0.8140 0.2241 0.8138
Bi 0.8140 0.2759 0.3138
P 0.1143 0.0932 0.7592
P 0.1143 0.4068 0.2592
P 0.1817 0.1709 0.1438
P 0.1817 0.3291 0.6438
P 0.3017 0.6063 0.4820
P 0.3017 0.8937 0.9820
P 0.4788 0.0240 0.2331
P 0.4788 0.4760 0.7331
P 0.5212 0.5240 0.2669
P 0.5212 0.9760 0.7669
P 0.6983 0.1063 0.0180
P 0.6983 0.3937 0.5180
P 0.8183 0.6709 0.3562
P 0.8183 0.8291 0.8562
P 0.8857 0.5932 0.7408
P 0.8857 0.9068 0.2408
O 0.0144 0.6803 0.7548
O 0.0144 0.8197 0.2548
O 0.0704 0.5357 0.1719
O 0.0704 0.9643 0.6719
O 0.0785 0.2354 0.0126
O 0.0785 0.2646 0.5126
O 0.1388 0.0347 0.1822
O 0.1388 0.4653 0.6822
O 0.1944 0.6543 0.5151
O 0.1944 0.8457 0.0151
O 0.2260 0.2052 0.7496
O 0.2260 0.2948 0.2496
O 0.2387 0.0476 0.9054
O 0.2387 0.4524 0.4054
O 0.3414 0.7113 0.4159
O 0.3414 0.7887 0.9159
O 0.3504 0.1540 0.1709
O 0.3504 0.3460 0.6709
O 0.3625 0.5907 0.1849
O 0.3625 0.9093 0.6849
O 0.4396 0.5869 0.7967
O 0.4396 0.9131 0.2967
O 0.4605 0.5457 0.6097
O 0.4605 0.9543 0.1097
O 0.5395 0.0457 0.8903
O 0.5395 0.4543 0.3903
O 0.5604 0.0869 0.7033
O 0.5604 0.4131 0.2033
O 0.6375 0.0907 0.3151
O 0.6375 0.4093 0.8151
O 0.6496 0.6540 0.3291
O 0.6496 0.8460 0.8291
O 0.6586 0.2113 0.0841
O 0.6586 0.2887 0.5841
O 0.7613 0.5476 0.5946
O 0.7613 0.9524 0.0946
O 0.7740 0.7052 0.7504
O 0.7740 0.7948 0.2504
O 0.8056 0.1543 0.9849
O 0.8056 0.3457 0.4849
O 0.8612 0.5347 0.3178
O 0.8612 0.9653 0.8178
O 0.9215 0.7354 0.4874
O 0.9215 0.7646 0.9874
O 0.9296 0.0357 0.3281
O 0.9296 0.4643 0.8281
O 0.9856 0.1803 0.7452
O 0.9856 0.3197 0.2452
CELL_PARAMETERS angstrom
10.6384 0.0000 0.0000
0.0000 9.1280 0.0000
-7.5843 0.0000 10.4999
```

## Properties
Density of states at the Fermi level in states/eV per cell: 0.00
Formation energy without anion corrections in eV/atom: -2.0853
Volume in Å³ per cell: 1019.6


11.
DFT (PBE) results for a geometry-optimized K2PaBiO5 structure. Values from VASP.

```
&SYSTEM
  ibrav = 0, nat = 9, ntyp = 4
/
ATOMIC_SPECIES
K 39.10 K.upf
Pa 231.04 Pa.upf
Bi 208.98 Bi.upf
O 16.00 O.upf
ATOMIC_POSITIONS crystal
K 0.0000 0.0000 0.2234
K 0.0000 0.0000 0.7766
Pa 0.5000 0.5000 0.0000
Bi 0.5000 0.5000 0.5000
O 0.0000 0.0000 0.5000
O 0.0000 0.5000 0.0000
O 0.5000 0.0000 0.0000
O 0.5000 0.5000 0.2470
O 0.5000 0.5000 0.7530
CELL_PARAMETERS angstrom
4.2678 0.0000 0.0000
0.0000 4.2678 0.0000
0.0000 0.0000 9.0288
```

## Properties
Formation energy without anion corrections in eV/atom: -2.1165
Volume in Å³ per cell: 164.4


12.
DFT (PBE) results for a geometry-optimized K3Pa2BiO9 structure. Values from VASP.

```
&SYSTEM
  ibrav = 0, nat = 15, ntyp = 4
/
ATOMIC_SPECIES
K 39.10 K.upf
Pa 231.04 Pa.upf
Bi 208.98 Bi.upf
O 16.00 O.upf
ATOMIC_POSITIONS crystal
K 0.0000 0.0000 0.0000
K 0.3333 0.6667 0.6634
K 0.6667 0.3333 0.3366
Pa 0.3333 0.6667 0.1703
Pa 0.6667 0.3333 0.8297
Bi 0.0000 0.0000 0.5000
O 0.0000 0.5000 0.0000
O 0.1656 0.3312 0.3342
O 0.1656 0.8344 0.3342
O 0.3312 0.1656 0.6658
O 0.5000 0.0000 0.0000
O 0.5000 0.5000 0.0000
O 0.6688 0.8344 0.3342
O 0.8344 0.1656 0.6658
O 0.8344 0.6688 0.6658
CELL_PARAMETERS angstrom
6.1354 0.0000 0.0000
-3.0677 5.3134 0.0000
0.0000 0.0000 7.5188
```

## Properties
Density of states at the Fermi level in states/eV per cell: 0.00
Formation energy without anion corrections in eV/atom: -2.4965
Volume in Å³ per cell: 245.1


13.
DFT (PBE) results for a geometry-optimized KPaBiO4 structure. Values from VASP.

```
&SYSTEM
  ibrav = 0, nat = 14, ntyp = 4
/
ATOMIC_SPECIES
K 39.10 K.upf
Pa 231.04 Pa.upf
Bi 208.98 Bi.upf
O 16.00 O.upf
ATOMIC_POSITIONS crystal
K 0.4087 0.1587 0.2500
K 0.5913 0.8413 0.7500
Pa 0.0000 0.5000 0.5000
Pa 0.5000 0.5000 0.0000
Bi 0.0000 0.0000 0.5000
Bi 0.0000 0.5000 0.0000
O 0.1512 0.6767 0.4744
O 0.2569 0.3036 0.5466
O 0.2569 0.7103 0.9534
O 0.2977 0.3233 0.9744
O 0.7023 0.6767 0.0256
O 0.7431 0.2897 0.0466
O 0.7431 0.6964 0.4534
O 0.8488 0.3233 0.5256
CELL_PARAMETERS angstrom
-3.2276 3.5297 6.1885
3.2276 -3.5297 6.1885
3.2276 3.5297 -6.1885
```

## Properties
Density of states at the Fermi level in states/eV per cell: 3.16
Formation energy without anion corrections in eV/atom: -2.3551
Volume in Å³ per cell: 282.0


14.
DFT (PBE) results for a geometry-optimized KPa2Bi2O7 structure. Values from VASP.

```
&SYSTEM
  ibrav = 0, nat = 12, ntyp = 4
/
ATOMIC_SPECIES
K 39.10 K.upf
Pa 231.04 Pa.upf
Bi 208.98 Bi.upf
O 16.00 O.upf
ATOMIC_POSITIONS crystal
K 0.0000 0.0000 0.0000
Pa 0.4163 0.4962 0.8300
Pa 0.5837 0.5038 0.1700
Bi 0.2961 0.9942 0.5936
Bi 0.7039 0.0058 0.4064
O 0.0784 0.5038 0.1592
O 0.3284 0.4915 0.6528
O 0.4138 0.9961 0.8259
O 0.5000 0.5000 0.0000
O 0.5862 0.0039 0.1741
O 0.6716 0.5085 0.3472
O 0.9216 0.4962 0.8408
CELL_PARAMETERS angstrom
4.3066 0.0000 0.0000
-0.0005 4.3636 0.0000
-2.1171 -0.0991 12.8897
```

## Properties
Density of states at the Fermi level in states/eV per cell: 2.75
Formation energy without anion corrections in eV/atom: -2.4836
Volume in Å³ per cell: 242.2


15.
DFT (PBE) results for a geometry-optimized K2PaBiO6 structure. Values from VASP.

```
&SYSTEM
  ibrav = 0, nat = 10, ntyp = 4
/
ATOMIC_SPECIES
K 39.10 K.upf
Pa 231.04 Pa.upf
Bi 208.98 Bi.upf
O 16.00 O.upf
ATOMIC_POSITIONS crystal
K 0.2500 0.2500 0.2500
K 0.7500 0.7500 0.7500
Pa 0.0000 0.0000 0.0000
Bi 0.5000 0.5000 0.5000
O 0.2506 0.2506 0.7494
O 0.2506 0.7494 0.2506
O 0.2506 0.7494 0.7494
O 0.7494 0.2506 0.2506
O 0.7494 0.2506 0.7494
O 0.7494 0.7494 0.2506
CELL_PARAMETERS angstrom
0.0000 4.3154 4.3154
4.3154 0.0000 4.3154
4.3154 4.3154 0.0000
```

## Properties
Formation energy without anion corrections in eV/atom: -2.1689
Volume in Å³ per cell: 160.7


16.
DFT (PBE) results for a geometry-optimized K3PaBi2O9 structure. Values from VASP.

```
&SYSTEM
  ibrav = 0, nat = 15, ntyp = 4
/
ATOMIC_SPECIES
K 39.10 K.upf
Pa 231.04 Pa.upf
Bi 208.98 Bi.upf
O 16.00 O.upf
ATOMIC_POSITIONS crystal
K 0.0000 0.0000 0.0000
K 0.3333 0.6667 0.6768
K 0.6667 0.3333 0.3232
Pa 0.0000 0.0000 0.5000
Bi 0.3333 0.6667 0.1660
Bi 0.6667 0.3333 0.8340
O 0.0000 0.5000 0.0000
O 0.1671 0.3342 0.3334
O 0.1671 0.8329 0.3334
O 0.3342 0.1671 0.6666
O 0.5000 0.0000 0.0000
O 0.5000 0.5000 0.0000
O 0.6658 0.8329 0.3334
O 0.8329 0.1671 0.6666
O 0.8329 0.6658 0.6666
CELL_PARAMETERS angstrom
6.0804 0.0000 0.0000
-3.0402 5.2658 0.0000
0.0000 0.0000 7.4732
```

## Properties
Density of states at the Fermi level in states/eV per cell: 5.61
Formation energy without anion corrections in eV/atom: -1.7987
Volume in Å³ per cell: 239.3